# Nd3DyPb2C

A relaxed structure of Nd3DyPb2C (PBE, Alexandria).

Space-group type: No. 71
M_tot in Bohr magnetons per cell: 0.0
Calculated volume in Å³ per cell: 409
Formation energy from the elements in meV/atom: -500

Cell: 4.8841 5.0186 16.6911 Å, 90.00 90.00 90.00°
Fractional coordinates of all 14 atoms:
Nd1 0.0000 0.0000 0.0000
Nd2 0.0000 0.5000 0.1597
Nd3 0.0000 0.5000 0.8403
Nd4 0.5000 0.0000 0.3403
Nd5 0.5000 0.0000 0.6597
Nd6 0.5000 0.5000 0.5000
Dy1 0.0000 0.0000 0.5000
Dy2 0.5000 0.5000 0.0000
Pb1 0.0000 0.5000 0.3603
Pb2 0.0000 0.5000 0.6397
Pb3 0.5000 0.0000 0.1397
Pb4 0.5000 0.0000 0.8603
C1 0.0000 0.5000 0.0000
C2 0.5000 0.0000 0.5000

***

# Nd2DyPbC

A relaxed structure of Nd2DyPbC (PBE, Alexandria).

Space-group type: No. 123
M_tot in Bohr magnetons per cell: 0.0
Calculated volume in Å³ per cell: 130
Formation energy from the elements in meV/atom: -440

Cell: 5.1387 5.1387 4.9308 Å, 90.00 90.00 90.00°
Fractional coordinates of all 5 atoms:
Nd1 0.0000 0.5000 0.0000
Nd2 0.5000 0.0000 0.0000
Dy1 0.0000 0.0000 0.5000
Pb1 0.5000 0.5000 0.5000
C1 0.0000 0.0000 0.0000

***

# Nd2Dy2Pb2C

A relaxed structure of Nd2Dy2Pb2C (PBE, Alexandria).

Space-group type: No. 139
M_tot in Bohr magnetons per cell: 0.0
Calculated volume in Å³ per cell: 394
Formation energy from the elements in meV/atom: -577

Cell: 4.8667 4.8667 16.6356 Å, 90.00 90.00 90.00°
Fractional coordinates of all 14 atoms:
Nd1 0.0000 0.0000 0.1593
Nd2 0.0000 0.0000 0.8407
Nd3 0.5000 0.5000 0.3407
Nd4 0.5000 0.5000 0.6593
Dy1 0.0000 0.5000 0.0000
Dy2 0.0000 0.5000 0.5000
Dy3 0.5000 0.0000 0.0000
Dy4 0.5000 0.0000 0.5000
Pb1 0.0000 0.0000 0.3618
Pb2 0.0000 0.0000 0.6382
Pb3 0.5000 0.5000 0.1382
Pb4 0.5000 0.5000 0.8618
C1 0.0000 0.0000 0.0000
C2 0.5000 0.5000 0.5000